Entry 1:
# TbHoTlPd

A relaxed structure of TbHoTlPd (PBE, the Alexandria database).

```
TbHoTlPd
1.0
0.000 3.660 3.660
3.660 0.000 3.660
3.660 3.660 0.000
Tb Ho Tl Pd
1 1 1 1
direct
0.000 0.000 0.000
0.500 0.500 0.500
0.750 0.750 0.750
0.250 0.250 0.250
```

Computed properties:
DFT formation energy, eV per atom: -0.546

Entry 2:
# ThUSn2

A relaxed structure of ThUSn2 (PBE, the Alexandria database).

```
ThUSn2
1.0
1.622 0.936 12.141
-1.622 0.936 12.141
0.000 -1.873 12.141
Th U Sn
1 1 2
direct
0.000 0.000 0.000
0.500 0.500 0.500
0.091 0.091 0.091
0.909 0.909 0.909
```

Computed properties:
DFT formation energy, eV per atom: 0.177
Polymorph energy (0 for the lowest one), eV per atom: 0.387

Entry 3:
# ScWBr

A relaxed structure of ScWBr (PBE, the Alexandria database).

```
ScWBr
1.0
0.000 3.137 3.137
3.137 0.000 3.137
3.137 3.137 0.000
Sc W Br
1 1 1
direct
0.000 0.000 0.000
0.500 0.500 0.500
0.250 0.250 0.250
```

Computed properties:
Polymorph energy (0 for the lowest one), eV per atom: 0.875

Entry 4:
# Zr2ScNiBr

A relaxed structure of Zr2ScNiBr (PBE, the Alexandria database).

```
Zr2ScNiBr
1.0
4.897 0.000 0.000
0.000 4.897 0.000
0.000 0.000 4.980
Zr Sc Ni Br
2 1 1 1
direct
0.000 0.500 0.000
0.500 0.000 0.000
0.000 0.000 0.500
0.500 0.500 0.000
0.500 0.500 0.500
```

Computed properties:
Raw total energy, eV/cell: -28.42

Entry 5:
# MgIn12Sn3

A relaxed structure of MgIn12Sn3 (PBE, the Alexandria database).

```
MgIn12Sn3
1.0
4.655 0.000 0.000
0.000 4.655 0.000
0.000 0.000 19.652
Mg In Sn
1 12 3
direct
0.000 0.000 0.000
0.000 0.500 0.119
0.000 0.500 0.372
0.000 0.500 0.628
0.000 0.500 0.881
0.500 0.000 0.119
0.500 0.000 0.372
0.500 0.000 0.628
0.500 0.000 0.881
0.500 0.500 0.000
0.500 0.500 0.244
0.500 0.500 0.500
0.500 0.500 0.756
0.000 0.000 0.244
0.000 0.000 0.500
0.000 0.000 0.756
```

Computed properties:
DFT formation energy, eV per atom: 0.019

Entry 6:
# CaPr4Sm3Te8

A relaxed structure of CaPr4Sm3Te8 (PBE, the Alexandria database).

```
CaPr4Sm3Te8
1.0
4.479 2.586 7.393
-4.479 2.586 7.393
0.000 -5.171 7.393
Ca Pr Sm Te
1 4 3 8
direct
0.000 0.000 0.000
0.000 0.000 0.500
0.000 0.500 0.000
0.500 0.000 0.000
0.500 0.500 0.500
0.000 0.500 0.500
0.500 0.000 0.500
0.500 0.500 0.000
0.246 0.246 0.749
0.246 0.749 0.246
0.251 0.754 0.754
0.252 0.252 0.252
0.748 0.748 0.748
0.749 0.246 0.246
0.754 0.251 0.754
0.754 0.754 0.251
```

Computed properties:
Raw total energy, eV/cell: -83.38

Entry 7:
# CuAg2IrO4

A relaxed structure of CuAg2IrO4 (PBE, the Alexandria database).

```
CuAg2IrO4
1.0
4.525 0.000 0.000
-0.674 4.941 0.000
-1.474 -2.564 4.980
Cu Ag Ir O
1 2 1 4
direct
0.000 0.000 0.000
0.568 0.399 0.951
0.779 0.213 0.473
0.270 0.708 0.482
0.026 0.709 0.168
0.129 0.045 0.702
0.373 0.338 0.260
0.574 0.738 0.788
```

Computed properties:
Raw total energy, eV/cell: -40.93

Entry 8:
# ZrFe2Pt

A relaxed structure of ZrFe2Pt (PBE, the Alexandria database).

```
ZrFe2Pt
1.0
0.000 3.145 3.145
3.145 0.000 3.145
3.145 3.145 0.000
Zr Fe Pt
1 2 1
direct
0.000 0.000 0.000
0.500 0.500 0.500
0.750 0.750 0.750
0.250 0.250 0.250
```

Computed properties:
DFT formation energy, eV per atom: -0.279

Entry 9:
# Ca2MgP3Pd4

A relaxed structure of Ca2MgP3Pd4 (PBE, the Alexandria database).

```
Ca2MgP3Pd4
1.0
4.102 0.000 0.000
0.000 4.102 0.000
0.000 0.000 10.627
Ca Mg P Pd
2 1 3 4
direct
0.000 0.500 0.234
0.500 0.000 0.766
0.000 0.000 0.500
0.000 0.500 0.869
0.500 0.000 0.131
0.500 0.500 0.500
0.000 0.000 0.000
0.000 0.500 0.649
0.500 0.000 0.351
0.500 0.500 0.000
```

Computed properties:
DFT formation energy, eV per atom: -0.806

Entry 10:
# MgNbRhN2

A relaxed structure of MgNbRhN2 (PBE, the Alexandria database).

```
MgNbRhN2
1.0
3.820 0.000 0.000
0.000 3.820 0.000
0.000 0.000 5.295
Mg Nb Rh N
1 1 1 2
direct
0.000 0.000 0.000
0.000 0.000 0.500
0.500 0.500 0.500
0.000 0.500 0.000
0.500 0.000 0.000
```

Computed properties:
Raw total energy, eV/cell: -26.51

Entry 11:
# Mg14NiSn

A relaxed structure of Mg14NiSn (PBE, the Alexandria database).

```
Mg14NiSn
1.0
6.289 0.000 0.000
-3.145 5.447 0.000
0.000 0.000 10.040
Mg Ni Sn
14 1 1
direct
0.000 0.000 0.246
0.000 0.000 0.754
0.010 0.505 0.264
0.010 0.505 0.736
0.327 0.163 0.500
0.336 0.168 0.000
0.495 0.505 0.264
0.495 0.505 0.736
0.495 0.990 0.264
0.495 0.990 0.736
0.832 0.168 0.000
0.832 0.664 0.000
0.837 0.163 0.500
0.837 0.673 0.500
0.333 0.667 0.500
0.333 0.667 0.000
```

Computed properties:
DFT formation energy, eV per atom: -0.012
Polymorph energy (0 for the lowest one), eV per atom: 0.000

Entry 12:
# Li2NiPdCl

A relaxed structure of Li2NiPdCl (PBE, the Alexandria database).

```
Li2NiPdCl
1.0
4.867 0.000 0.000
0.000 4.867 0.000
0.000 0.000 4.024
Li Ni Pd Cl
2 1 1 1
direct
0.000 0.500 0.000
0.500 0.000 0.000
0.000 0.000 0.000
0.500 0.500 0.500
0.000 0.000 0.500
```

Computed properties:
Raw total energy, eV/cell: -15.96

Entry 13:
# LiPr2In3

A relaxed structure of LiPr2In3 (PBE, the Alexandria database).

```
LiPr2In3
1.0
0.000 4.965 8.620
3.777 0.000 8.620
3.777 4.965 0.000
Li Pr In
2 4 6
direct
0.168 0.168 0.832
0.832 0.832 0.168
0.248 0.752 0.752
0.250 0.250 0.250
0.750 0.750 0.750
0.752 0.248 0.248
0.159 0.669 0.331
0.329 0.329 0.671
0.331 0.841 0.159
0.669 0.159 0.841
0.671 0.671 0.329
0.841 0.331 0.669
```

Computed properties:
DFT formation energy, eV per atom: -0.452
Polymorph energy (0 for the lowest one), eV per atom: 0.000

Entry 14:
# La6Nd2Mg

A relaxed structure of La6Nd2Mg (PBE, the Alexandria database).

```
La6Nd2Mg
1.0
5.834 -2.591 0.000
5.834 2.591 0.000
-3.512 0.000 10.431
La Nd Mg
6 2 1
direct
0.002 0.002 0.172
0.325 0.325 0.606
0.334 0.334 0.277
0.666 0.666 0.723
0.675 0.675 0.394
0.998 0.998 0.828
0.332 0.332 0.944
0.668 0.668 0.056
0.000 0.000 0.500
```

Computed properties:
DFT formation energy, eV per atom: 0.000
Polymorph energy (0 for the lowest one), eV per atom: 0.000

Entry 15:
# RbCa2MgF8

A relaxed structure of RbCa2MgF8 (PBE, the Alexandria database).

```
RbCa2MgF8
1.0
4.046 0.000 0.000
0.000 8.146 0.000
-0.781 0.000 5.376
Rb Ca Mg F
1 2 1 8
direct
0.000 0.000 0.000
0.500 0.281 0.500
0.500 0.719 0.500
0.000 0.500 0.000
0.046 0.296 0.754
0.046 0.704 0.754
0.424 0.000 0.673
0.434 0.500 0.234
0.566 0.500 0.766
0.576 0.000 0.327
0.954 0.296 0.246
0.954 0.704 0.246
```

Computed properties:
Raw total energy, eV/cell: -60.00

Entry 16:
# Be2SiNi

A relaxed structure of Be2SiNi (PBE, the Alexandria database).

```
Be2SiNi
1.0
3.430 0.000 0.000
0.000 3.430 0.000
0.000 0.000 3.317
Be Si Ni
2 1 1
direct
0.000 0.500 0.000
0.500 0.000 0.000
0.000 0.000 0.500
0.500 0.500 0.500
```

Computed properties:
Raw total energy, eV/cell: -19.57

Entry 17:
# CaPm4Ho5

A relaxed structure of CaPm4Ho5 (PBE, the Alexandria database).

```
CaPm4Ho5
1.0
3.621 0.000 0.000
0.000 3.621 0.000
0.000 0.000 25.417
Ca Pm Ho
1 4 5
direct
0.000 0.000 0.000
0.000 0.000 0.204
0.000 0.000 0.401
0.000 0.000 0.599
0.000 0.000 0.796
0.500 0.500 0.109
0.500 0.500 0.303
0.500 0.500 0.500
0.500 0.500 0.697
0.500 0.500 0.891
```

Computed properties:
DFT formation energy, eV per atom: 0.040

Entry 18:
# Rb5P3Au3

A relaxed structure of Rb5P3Au3 (PBE, the Alexandria database).

```
Rb5P3Au3
1.0
10.568 0.000 0.000
-5.284 9.153 0.000
0.000 0.000 4.500
Rb P Au
5 3 3
direct
0.000 0.259 0.000
0.259 0.000 0.000
0.333 0.667 0.000
0.667 0.333 0.000
0.741 0.741 0.000
0.000 0.619 0.000
0.381 0.381 0.000
0.619 0.000 0.000
0.000 0.677 0.500
0.323 0.323 0.500
0.677 0.000 0.500
```

Computed properties:
DFT formation energy, eV per atom: -0.352

Entry 19:
# BeInAg2

A relaxed structure of BeInAg2 (PBE, the Alexandria database).

```
BeInAg2
1.0
3.059 0.000 0.000
0.000 3.059 0.000
0.000 0.000 7.148
Be In Ag
1 1 2
direct
0.000 0.000 0.000
0.000 0.000 0.500
0.500 0.500 0.198
0.500 0.500 0.802
```

Computed properties:
DFT formation energy, eV per atom: 0.139
Polymorph energy (0 for the lowest one), eV per atom: 0.000

Entry 20:
# Dy2Er7Tm

A relaxed structure of Dy2Er7Tm (PBE, the Alexandria database).

```
Dy2Er7Tm
1.0
4.292 -8.570 0.000
4.292 8.570 0.000
0.000 0.000 5.076
Dy Er Tm
2 7 1
direct
0.201 0.799 0.000
0.799 0.201 0.000
0.000 0.000 0.000
0.214 0.427 0.000
0.306 0.694 0.500
0.427 0.214 0.000
0.573 0.786 0.000
0.694 0.306 0.500
0.786 0.573 0.000
0.500 0.500 0.500
```

Computed properties:
DFT formation energy, eV per atom: 0.705
Polymorph energy (0 for the lowest one), eV per atom: 0.682

Entry 21:
# La4N

A relaxed structure of La4N (PBE, the Alexandria database).

```
La4N
1.0
5.240 0.000 0.000
0.000 5.240 0.000
0.000 0.000 5.240
La N
4 1
direct
0.000 0.000 0.000
0.000 0.500 0.500
0.500 0.000 0.500
0.500 0.500 0.000
0.500 0.500 0.500
```

Computed properties:
Raw total energy, eV/cell: -30.43

Entry 22:
# Er5Pu3As8

A relaxed structure of Er5Pu3As8 (PBE, the Alexandria database).

```
Er5Pu3As8
1.0
4.104 2.370 6.675
-4.104 2.370 6.675
0.000 -4.739 6.675
Er Pu As
5 3 8
direct
0.000 0.000 0.000
0.000 0.500 0.500
0.500 0.000 0.500
0.500 0.500 0.000
0.500 0.500 0.500
0.000 0.000 0.500
0.000 0.500 0.000
0.500 0.000 0.000
0.250 0.250 0.250
0.250 0.250 0.750
0.250 0.750 0.250
0.250 0.750 0.750
0.750 0.250 0.250
0.750 0.250 0.750
0.750 0.750 0.250
0.750 0.750 0.750
```

Computed properties:
DFT formation energy, eV per atom: -1.325

Entry 23:
# BaGdAgSn

A relaxed structure of BaGdAgSn (PBE, the Alexandria database).

```
BaGdAgSn
1.0
0.000 3.972 3.972
3.972 0.000 3.972
3.972 3.972 0.000
Ba Gd Ag Sn
1 1 1 1
direct
0.000 0.000 0.000
0.500 0.500 0.500
0.250 0.250 0.250
0.750 0.750 0.750
```

Computed properties:
DFT formation energy, eV per atom: -0.398

Entry 24:
# RbScPb

A relaxed structure of RbScPb (PBE, the Alexandria database).

```
RbScPb
1.0
3.531 0.000 0.000
0.000 6.531 0.000
-0.002 0.000 8.975
Rb Sc Pb
2 2 2
direct
0.001 0.250 0.114
0.999 0.750 0.886
0.000 0.000 0.500
0.000 0.500 0.500
0.500 0.250 0.721
0.500 0.750 0.279
```

Computed properties:
DFT formation energy, eV per atom: -0.050
Polymorph energy (0 for the lowest one), eV per atom: 0.187